(1)
A relaxed AcMgSbPd crystal. Source: the Alexandria database, functional PBE.

Unit cell a=5.291 b=5.291 c=5.291 alpha=60.00 beta=60.00 gamma=60.00
Sites, in units of the cell vectors:
1 Sb 0.500 0.500 0.500
2 Ac 0.250 0.250 0.250
3 Mg 0.750 0.750 0.750
4 Pd 0.000 0.000 0.000

uncorrected formation energy = -555 meV/atom
mass density = 7.6 g cm⁻³
SG = F-43m (216)

***

(2)
A relaxed Ac2MgSbPd6 crystal. Source: the Alexandria database, functional PBE.

Unit cell a=8.786 b=5.884 c=8.786 alpha=70.42 beta=39.13 gamma=89.99
Sites, in units of the cell vectors:
1 Ac 0.218 0.782 0.436
2 Ac 0.782 0.218 0.564
3 Mg 0.500 0.500 0.000
4 Sb 0.000 0.000 0.000
5 Pd 0.252 0.748 0.996
6 Pd 0.748 0.743 0.004
7 Pd 0.257 0.252 0.496
8 Pd 0.748 0.252 0.004
9 Pd 0.252 0.257 0.996
10 Pd 0.743 0.748 0.504

uncorrected formation energy = -567 meV/atom
mass density = 8.5 g cm⁻³
SG = R-3m (166)

***

(3)
A relaxed Ac2MgSb4Pd3 crystal. Source: the Alexandria database, functional PBE.

Unit cell a=4.631 b=4.631 c=11.592 alpha=90.00 beta=90.00 gamma=90.00
Sites, in units of the cell vectors:
1 Ac 0.500 0.000 0.245
2 Ac 0.000 0.500 0.755
3 Mg 0.500 0.500 0.500
4 Sb 0.500 0.500 0.000
5 Sb 0.000 0.000 0.000
6 Sb 0.500 0.000 0.641
7 Sb 0.000 0.500 0.359
8 Pd 0.000 0.000 0.500
9 Pd 0.500 0.000 0.872
10 Pd 0.000 0.500 0.128

uncorrected formation energy = -831 meV/atom
mass density = 8.6 g cm⁻³
SG = P-4m2 (115)

***

(4)
A relaxed Ac3MgSb2Pd9 crystal. Source: the Alexandria database, functional PBE.

Unit cell a=6.623 b=6.623 c=10.155 alpha=90.00 beta=90.00 gamma=120.00
Sites, in units of the cell vectors:
1 Ac 0.333 0.667 0.730
2 Ac 0.000 0.000 0.000
3 Ac 0.667 0.333 0.270
4 Mg 0.000 0.000 0.500
5 Sb 0.333 0.667 0.179
6 Sb 0.667 0.333 0.821
7 Pd 0.866 0.134 0.716
8 Pd 0.866 0.732 0.716
9 Pd 0.268 0.134 0.716
10 Pd 0.732 0.866 0.284
11 Pd 0.134 0.268 0.284
12 Pd 0.134 0.866 0.284
13 Pd 0.500 0.000 0.000
14 Pd 0.000 0.500 0.000
15 Pd 0.500 0.500 0.000

uncorrected formation energy = -593 meV/atom
mass density = 8.2 g cm⁻³
SG = P-3m1 (164)

***

(5)
A relaxed Ac2MgScPd6 crystal. Source: the Alexandria database, functional PBE.

Unit cell a=5.946 b=8.660 c=8.661 alpha=40.15 beta=69.93 gamma=90.00
Sites, in units of the cell vectors:
1 Ac 0.231 0.769 0.539
2 Ac 0.769 0.231 0.461
3 Mg 0.000 0.000 0.000
4 Sc 0.500 0.500 0.000
5 Pd 0.249 0.751 0.992
6 Pd 0.758 0.752 0.992
7 Pd 0.249 0.243 0.501
8 Pd 0.751 0.249 0.008
9 Pd 0.242 0.248 0.008
10 Pd 0.751 0.757 0.499

energy of formation = -0.56 eV/atom
mass density = 7.9 g cm⁻³
SG = R-3m (166)

***

(6)
A relaxed AcMgSi2Pd5 crystal. Source: the Alexandria database, functional PBE.

Unit cell a=4.292 b=4.292 c=8.905 alpha=90.00 beta=90.00 gamma=90.00
Sites, in units of the cell vectors:
1 Ac 0.000 0.000 0.500
2 Mg 0.000 0.000 0.000
3 Si 0.500 0.500 0.128
4 Si 0.500 0.500 0.872
5 Pd 0.000 0.500 0.248
6 Pd 0.500 0.000 0.248
7 Pd 0.000 0.500 0.752
8 Pd 0.500 0.000 0.752
9 Pd 0.500 0.500 0.500

uncorrected formation energy = -673 meV/atom
mass density = 8.5 g cm⁻³
SG = P4/mmm (123)